A plane-wave DFT calculation with PBE-GGA was carried out for an optimized crystal structure of DySi2TcIr.

a = 4.1984 Å, b = 4.1984 Å, c = 9.6407 Å
α = 90.00°, β = 90.00°, γ = 90.00°
Last column: nearest neighbours and their distance in Å.
Atoms (fractional coordinates):
Dy: 0.0000 0.0000 0.0000  4 Tc 3.20, 4 Ir 3.20, 8 Si 3.22
Dy: 0.5000 0.5000 0.5000  4 Tc 3.20, 4 Ir 3.20, 8 Si 3.22
Si: 0.0000 0.0000 0.3716  2 Tc 2.40, 2 Ir 2.40, 1 Si 2.48
Si: 0.0000 0.0000 0.6284  2 Tc 2.40, 2 Ir 2.40, 1 Si 2.48
Si: 0.5000 0.5000 0.1284  2 Tc 2.40, 2 Ir 2.40, 1 Si 2.48
Si: 0.5000 0.5000 0.8716  2 Tc 2.40, 2 Ir 2.40, 1 Si 2.48
Tc: 0.0000 0.5000 0.7500  4 Si 2.40
Tc: 0.5000 0.0000 0.2500  4 Si 2.40
Ir: 0.0000 0.5000 0.2500  4 Si 2.40
Ir: 0.5000 0.0000 0.7500  4 Si 2.40

Computed properties:
Calculated volume in Å³ per cell: 169.9
Space group: I-4m2
Total energy in eV/atom: -7.830

A plane-wave DFT calculation with PBE-GGA was carried out for an optimized crystal structure of DyYSi2Ir.

a = 5.6251 Å, b = 5.6251 Å, c = 10.1368 Å
α = 115.33°, β = 115.33°, γ = 44.39°
Last column: nearest neighbours and their distance in Å.
Atoms (fractional coordinates):
Dy: 0.0049 0.0049 0.3274  4 Ir 2.96-3.20, 7 Si 2.96-3.25
Dy: 0.9951 0.9951 0.6726  4 Ir 2.96-3.20, 7 Si 2.96-3.25
Y: 0.1900 0.1900 0.1126  6 Si 2.99-3.09, 2 Ir 3.05
Y: 0.8099 0.8099 0.8874  6 Si 2.99-3.09, 2 Ir 3.05
Si: 0.3530 0.3530 0.4446  3 Ir 2.45-2.64, 1 Si 2.73
Si: 0.4883 0.4883 0.1161  1 Si 2.48, 1 Ir 2.50
Si: 0.5117 0.5117 0.8839  1 Si 2.48, 1 Ir 2.50
Si: 0.6470 0.6470 0.5554  3 Ir 2.45-2.64, 1 Si 2.73
Ir: 0.2711 0.2711 0.6557  4 Si 2.45-2.64
Ir: 0.7289 0.7289 0.3443  4 Si 2.45-2.64

Computed properties:
Calculated volume in Å³ per cell: 199.0
Space group: C2/m
Total energy in eV/atom: -7.125

A plane-wave DFT calculation with PBE-GGA was carried out for an optimized crystal structure of DyTmSn2Ir.

a = 5.8742 Å, b = 5.8742 Å, c = 10.9334 Å
α = 113.94°, β = 113.94°, γ = 44.64°
Last column: nearest neighbours and their distance in Å.
Atoms (fractional coordinates):
Dy: 0.0046 0.0046 0.1741  1 Ir 2.97, 4 Sn 3.13-3.19
Dy: 0.9954 0.9954 0.8259  1 Ir 2.97, 4 Sn 3.13-3.19
Tm: 0.1846 0.1846 0.6307  2 Ir 2.96, 6 Sn 3.13-3.30
Tm: 0.8154 0.8154 0.3693  2 Ir 2.96, 6 Sn 3.13-3.30
Sn: 0.3449 0.3449 0.9530  3 Ir 2.67-2.85
Sn: 0.4640 0.4640 0.6129  1 Ir 2.72, 1 Sn 2.90
Sn: 0.5360 0.5360 0.3871  1 Ir 2.72, 1 Sn 2.90
Sn: 0.6551 0.6551 0.0470  3 Ir 2.67-2.85
Ir: 0.2791 0.2791 0.1780  4 Sn 2.67-2.85, 2 Tm 2.96, 1 Dy 2.97
Ir: 0.7209 0.7209 0.8220  4 Sn 2.67-2.85, 2 Tm 2.96, 1 Dy 2.97

Computed properties:
Calculated volume in Å³ per cell: 238.2
Space group: C2/m
Total energy in eV/atom: -5.966

A plane-wave DFT calculation with PBE-GGA was carried out for an optimized crystal structure of TbDyIr2.

a = 4.2724 Å, b = 5.5870 Å, c = 7.2912 Å
α = 90.00°, β = 90.00°, γ = 90.00°
Last column: nearest neighbours and their distance in Å.
Atoms (fractional coordinates):
Tb: 0.0000 0.1306 0.0000  7 Ir 2.89-3.05
Tb: 0.0000 0.8694 0.5000  7 Ir 2.89-3.05
Dy: 0.5000 0.3691 0.3537  7 Ir 2.90-3.04
Dy: 0.5000 0.6309 0.8537  7 Ir 2.90-3.04
Ir: 0.0000 0.3843 0.6388  2 Ir 2.66, 1 Tb 2.89
Ir: 0.0000 0.6157 0.1388  2 Ir 2.66, 1 Tb 2.89
Ir: 0.5000 0.1178 0.7142  2 Ir 2.66, 2 Dy 2.90-2.98
Ir: 0.5000 0.8822 0.2142  2 Ir 2.66, 2 Dy 2.90-2.98

Computed properties:
Calculated volume in Å³ per cell: 174.0
Formation energy from the elements in eV/atom: -0.74
Space group: Pmc2_1

A plane-wave DFT calculation with PBE-GGA was carried out for an optimized crystal structure of Tb3DyIr8.

a = 9.2679 Å, b = 9.2679 Å, c = 9.2679 Å
α = 33.58°, β = 33.58°, γ = 33.58°
Last column: nearest neighbours and their distance in Å.
Atoms (fractional coordinates):
Tb: 0.0000 0.0000 0.0000  12 Ir 3.14, 4 Tb 3.28
Tb: 0.1250 0.1250 0.1250  12 Ir 3.13-3.14, 1 Tb 3.28, 3 Dy 3.28
Tb: 0.6248 0.6248 0.6248  12 Ir 3.14, 1 Dy 3.27, 3 Tb 3.28
Dy: 0.4999 0.4999 0.4999  12 Ir 3.13-3.14, 4 Tb 3.27-3.28
Ir: 0.0624 0.0624 0.5623  6 Ir 2.67-2.68
Ir: 0.0624 0.5623 0.0624  6 Ir 2.67-2.68
Ir: 0.0626 0.5625 0.5625  6 Ir 2.67-2.68
Ir: 0.3124 0.3124 0.3124  6 Ir 2.68
Ir: 0.5623 0.0624 0.0624  6 Ir 2.67-2.68
Ir: 0.5625 0.0626 0.5625  6 Ir 2.67-2.68
Ir: 0.5625 0.5625 0.0626  6 Ir 2.67-2.68
Ir: 0.8125 0.8125 0.8125  6 Ir 2.67

Computed properties:
Calculated volume in Å³ per cell: 216.9
Formation energy from the elements in eV/atom: -0.81
Space group: R3m

A plane-wave DFT calculation with PBE-GGA was carried out for an optimized crystal structure of TbDy2TmIr4.

a = 4.8237 Å, b = 4.8237 Å, c = 6.8234 Å
α = 90.00°, β = 90.00°, γ = 90.00°
Last column: nearest neighbours and their distance in Å.
Atoms (fractional coordinates):
Tb: 0.0000 0.0000 0.0000  8 Ir 2.97
Dy: 0.0000 0.0000 0.5000  8 Ir 2.94
Dy: 0.5000 0.5000 0.0000  8 Ir 2.97
Tm: 0.5000 0.5000 0.5000  8 Ir 2.94
Ir: 0.0000 0.5000 0.2532  2 Tm 2.94, 4 Dy 2.94-2.97, 2 Tb 2.97
Ir: 0.0000 0.5000 0.7468  2 Tm 2.94, 4 Dy 2.94-2.97, 2 Tb 2.97
Ir: 0.5000 0.0000 0.2532  2 Tm 2.94, 4 Dy 2.94-2.97, 2 Tb 2.97
Ir: 0.5000 0.0000 0.7468  2 Tm 2.94, 4 Dy 2.94-2.97, 2 Tb 2.97

Computed properties:
Calculated volume in Å³ per cell: 158.8
Formation energy from the elements in eV/atom: -0.83
Space group: P4/mmm